(1)
{"formula": "RbUCuS5", "functional": "PBE", "state": "relaxed", "density_g_cm3": 4.2, "spacegroup": "C2/c", "raw_formation_energy_kj_per_mol_atoms": -66.25, "lattice": [[-4.3084, -1.4025, -5.3690], [0.7386, -5.6468, 4.1139], [-5.9018, 5.6777, 5.6822]], "species": ["Rb", "Rb", "U", "U", "Cu", "Cu", "S", "S", "S", "S", "S", "S", "S", "S", "S", "S"], "fractional_positions": [[0.3282, 0.6718, 0.2500], [0.6718, 0.3282, 0.7500], [0.0000, 0.0000, 0.5000], [0.0000, 0.0000, 0.0000], [0.6784, 0.3216, 0.2500], [0.3216, 0.6784, 0.7500], [0.0502, 0.9498, 0.2500], [0.9498, 0.0502, 0.7500], [0.8618, 0.2728, 0.0902], [0.1382, 0.7272, 0.9098], [0.7272, 0.1382, 0.4098], [0.2728, 0.8618, 0.5902], [0.7429, 0.6185, 0.4228], [0.2571, 0.3815, 0.5772], [0.3815, 0.2571, 0.0772], [0.6185, 0.7429, 0.9228]]}

=====

(2)
{"formula": "Ba2ScPCl", "functional": "PBE", "state": "relaxed", "density_g_cm3": 3.1, "spacegroup": "P4/mmm", "raw_formation_energy_kj_per_mol_atoms": -0.53, "lattice": [[-4.5605, 2.8624, 3.4075], [-3.4922, -3.0954, -2.0737], [0.9031, -4.1822, 4.7219]], "species": ["Sc", "P", "Ba", "Ba", "Cl"], "fractional_positions": [[0.5000, 0.5000, 0.5000], [0.0000, 0.0000, 0.0000], [0.0000, 0.0000, 0.5000], [0.5000, 0.0000, 0.0000], [0.0000, 0.5000, 0.0000]]}

=====

(3)
{"formula": "RbAcDy4S8", "functional": "PBE", "state": "relaxed", "density_g_cm3": 4.8, "spacegroup": "R3m", "raw_formation_energy_kj_per_mol_atoms": -184.06, "lattice": [[-1.2111, 0.6156, -8.1448], [-4.7601, -5.5099, -3.8944], [-7.6726, 2.4617, -2.8588]], "species": ["Rb", "Ac", "Dy", "Dy", "Dy", "Dy", "S", "S", "S", "S", "S", "S", "S", "S"], "fractional_positions": [[0.3676, 0.3676, 0.8971], [0.0036, 0.0036, 0.9892], [0.6257, 0.6257, 0.1230], [0.0042, 0.4868, 0.5049], [0.4868, 0.0042, 0.5049], [0.0042, 0.0042, 0.5049], [0.2444, 0.8019, 0.7094], [0.8019, 0.2444, 0.7094], [0.2444, 0.2444, 0.7094], [0.2290, 0.2290, 0.3131], [0.7486, 0.2349, 0.2678], [0.2349, 0.7486, 0.2678], [0.7486, 0.7486, 0.2678], [0.7562, 0.7562, 0.7314]]}

=====

(4)
{"formula": "Ho2TiGa", "functional": "PBE", "state": "relaxed", "density_g_cm3": 8.1, "spacegroup": "P4/mmm", "relative_energy_ev_per_atom": 0.013, "lattice": [[-1.3151, 0.8522, 4.0204], [0.2306, -4.4814, 1.0254], [4.3779, 0.5274, 1.3202]], "species": ["Ho", "Ho", "Ga", "Ti"], "fractional_positions": [[0.0000, 0.0000, 0.5000], [0.0000, 0.5000, 0.0000], [0.5000, 0.5000, 0.5000], [0.5000, 0.0000, 0.0000]]}

=====

(5)
{"formula": "La3SbCl", "functional": "PBE", "state": "relaxed", "density_g_cm3": 6.1, "spacegroup": "Pm-3m", "raw_formation_energy_kj_per_mol_atoms": -80.57, "relative_energy_ev_per_atom": 0.000, "lattice": [[-2.7381, 2.4221, -3.9693], [3.2436, -2.3057, -3.6444], [-3.3318, -4.2351, -0.2859]], "species": ["Sb", "Cl", "La", "La", "La"], "fractional_positions": [[0.5000, 0.5000, 0.5000], [0.0000, 0.0000, 0.0000], [0.0000, 0.5000, 0.0000], [0.0000, 0.0000, 0.5000], [0.5000, 0.0000, 0.0000]]}

=====

(6)
{"formula": "PmNdAg2Ge2", "functional": "PBE", "state": "relaxed", "density_g_cm3": 7.8, "spacegroup": "P-3m1", "e_tot_ev_per_atom": -4.669, "lattice": [[4.5348, 0.0000, 0.0000], [-2.2674, 3.9272, 0.0000], [0.0000, 0.0000, 7.7345]], "species": ["Pm", "Nd", "Ag", "Ag", "Ge", "Ge"], "fractional_positions": [[0.0000, 0.0000, 0.5000], [0.0000, 0.0000, 0.0000], [0.3333, 0.6667, 0.7460], [0.6667, 0.3333, 0.2540], [0.3333, 0.6667, 0.2513], [0.6667, 0.3333, 0.7487]]}

=====

(7)
{"formula": "PmHoMgZn", "functional": "PBE", "state": "relaxed", "density_g_cm3": 6.5, "spacegroup": "F-43m", "relative_energy_ev_per_atom": 0.032, "lattice": [[5.2389, 0.0000, 0.0000], [2.6195, 4.5370, 0.0000], [2.6195, 1.5123, 4.2776]], "species": ["Mg", "Zn", "Ho", "Pm"], "fractional_positions": [[0.5000, 0.5000, 0.5000], [0.0000, 0.0000, 0.0000], [0.7500, 0.7500, 0.7500], [0.2500, 0.2500, 0.2500]]}

=====

(8)
{"formula": "Tl2ReTc", "functional": "PBE", "state": "relaxed", "density_g_cm3": 13.8, "spacegroup": "P4mm", "relative_energy_ev_per_atom": 0.022, "lattice": [[3.0652, 0.0000, 0.0000], [0.0000, 3.0652, 0.0000], [0.0000, 0.0000, 8.9033]], "species": ["Re", "Tc", "Tl", "Tl"], "fractional_positions": [[0.0000, 0.0000, 0.5493], [0.5000, 0.5000, 0.7017], [0.0000, 0.0000, 0.9576], [0.5000, 0.5000, 0.2914]]}

=====

(9)
{"formula": "ScTlO2", "functional": "PBE", "state": "relaxed", "density_g_cm3": 6.7, "spacegroup": "Pmmn", "raw_formation_energy_kj_per_mol_atoms": -232.58, "relative_energy_ev_per_atom": 0.000, "lattice": [[3.2787, 0.0000, -0.0001], [0.0000, 4.0516, -0.0482], [0.0001, 0.1176, 10.4417]], "species": ["Sc", "Sc", "Tl", "Tl", "O", "O", "O", "O"], "fractional_positions": [[0.5384, 0.9307, 0.4628], [0.0384, 0.4303, 0.2773], [0.5384, 0.9299, 0.0161], [0.0385, 0.4310, 0.7240], [0.5384, 0.4301, 0.1477], [0.5384, 0.4305, 0.4191], [0.0384, 0.9304, 0.3210], [0.0384, 0.9309, 0.5924]]}

=====

(10)
{"formula": "HfCrW2", "functional": "PBE", "state": "relaxed", "density_g_cm3": 15.5, "spacegroup": "Fm-3m", "relative_energy_ev_per_atom": 0.000, "lattice": [[-2.7793, -3.1717, 1.5392], [-4.0217, 1.1412, 1.6362], [-3.7258, -1.0219, -2.2865]], "species": ["Cr", "Hf", "W", "W"], "fractional_positions": [[0.0000, 0.0000, 0.0000], [0.5000, 0.5000, 0.5000], [0.2500, 0.2500, 0.2500], [0.7500, 0.7500, 0.7500]]}

=====

(11)
{"formula": "Nd2HoIn2Rh5", "functional": "PBE", "state": "relaxed", "density_g_cm3": 9.7, "spacegroup": "P4/mbm", "e_tot_ev_per_atom": -6.158, "lattice": [[-3.5592, 0.6060, -0.9342], [0.1063, -8.6000, -5.9840], [-3.1266, -5.7376, 8.1904]], "species": ["Nd", "Nd", "Nd", "Nd", "Ho", "Ho", "In", "In", "In", "In", "Rh", "Rh", "Rh", "Rh", "Rh", "Rh", "Rh", "Rh", "Rh", "Rh"], "fractional_positions": [[0.0000, 0.6705, 0.1705], [0.0000, 0.3295, 0.8295], [0.0000, 0.1705, 0.3295], [0.0000, 0.8295, 0.6705], [0.0000, 0.0000, 0.0000], [0.0000, 0.5000, 0.5000], [0.0000, 0.1272, 0.6272], [0.0000, 0.8728, 0.3728], [0.0000, 0.6272, 0.8728], [0.0000, 0.3728, 0.1272], [0.5000, 0.2019, 0.0624], [0.5000, 0.7981, 0.9376], [0.5000, 0.0624, 0.7981], [0.5000, 0.7019, 0.4376], [0.5000, 0.9376, 0.2019], [0.5000, 0.2981, 0.5624], [0.5000, 0.5624, 0.7019], [0.5000, 0.4376, 0.2981], [0.5000, 0.5000, 0.0000], [0.5000, 0.0000, 0.5000]]}

=====

(12)
{"formula": "Li3Mg2PdO6", "functional": "PBE", "state": "relaxed", "density_g_cm3": 4.0, "spacegroup": "C2/m", "raw_formation_energy_kj_per_mol_atoms": -168.74, "lattice": [[5.2107, -0.0058, 0.0005], [-2.6091, 4.5104, 0.0005], [-0.8677, -1.5024, 4.8518]], "species": ["Li", "Li", "Li", "Mg", "Mg", "Pd", "O", "O", "O", "O", "O", "O"], "fractional_positions": [[0.1610, 0.8390, 0.5000], [0.8390, 0.1610, 0.5000], [0.5000, 0.5000, 0.5000], [0.3325, 0.6675, 0.0000], [0.6675, 0.3325, 0.0000], [0.0000, 0.0000, 0.0000], [0.9221, 0.5995, 0.7659], [0.7538, 0.7538, 0.2312], [0.0779, 0.4005, 0.2341], [0.5995, 0.9221, 0.7659], [0.2462, 0.2462, 0.7688], [0.4005, 0.0779, 0.2341]]}

=====

Question: Number 4 is which compound?
Answer: Ho2TiGa